Entry 1:
MnB2Ru PBE relaxed; energy above the lowest structure with this stoichiometry = 165 meV per atom; density of states at the Fermi level = 5.03 states/eV/cell; ΔE_f = 240 meV/atom
1.0
-2.7253 2.7253 2.7267
2.7253 -2.7253 2.7267
2.7253 2.7253 -2.7267
Mn B Ru
2 4 2
Cartesian
0.0000 0.0000 0.0000
0.0000 2.7253 1.3633
1.3627 1.3143 -0.6817
1.4111 -1.3627 3.4083
1.3627 1.4111 2.0450
1.3143 4.0880 0.6817
2.7253 0.0000 1.3633
0.0000 0.0000 2.7267

Entry 2:
RbCa2TeN PBE relaxed; density of states at the Fermi level = 0.05 states/eV/cell; energy relative to the elements, uncorrected = -0.73 eV/atom
1.0
4.9335 0.0000 0.0000
0.0000 4.9335 0.0000
0.0000 0.0000 5.6021
Rb Ca Te N
1 2 1 1
Cartesian
0.0000 0.0000 0.0000
0.0000 2.4667 2.8010
2.4667 0.0000 2.8010
2.4667 2.4667 0.0000
0.0000 0.0000 2.8010

Entry 3:
Eu2MgIr PBE relaxed; energy above the lowest structure with this stoichiometry = 275 meV per atom; density of states at the Fermi level = 13.92 states/eV/cell; ΔE_f = 62 meV/atom
1.0
2.0126 1.1620 10.2877
-2.0126 1.1620 10.2877
0.0000 -2.3239 10.2877
Eu Mg Ir
2 1 1
Cartesian
0.0000 0.0000 3.5196
0.0000 0.0000 27.3434
0.0000 0.0000 0.0000
0.0000 0.0000 15.4315

Q: What is the density of states at the Fermi level in the second record?
A: 0.05 states/eV/cell

Q: Which of these has the lowest density of states at the Fermi level?
A: RbCa2TeN